First-principles (PBE) data for crystalline TlFeRe2 at its relaxed geometry, as listed in Alexandria via LeMat-Bulk.

Values from the calculation:
Offset from the most stable computed form ... 0.196 eV per atom
Magnetic moment ... 1.46 μB per cell
E_form ... 716 meV/atom
Energy ... -8.216 eV per atom

a b c (Å): 9.353 9.353 9.353
angles (deg): 17.46 17.46 17.46
Fractional positions:
Tl 0.000 0.000 0.000
Fe 0.500 0.500 0.500
Re 0.239 0.239 0.239
Re 0.761 0.761 0.761



First-principles (PBE) data for crystalline TlFe2Re at its relaxed geometry, as listed in Alexandria via LeMat-Bulk.

Values from the calculation:
Offset from the most stable computed form ... 0.149 eV per atom
Magnetic moment ... 5.16 μB per cell
E_form ... 646 meV/atom
Energy ... -7.289 eV per atom

a b c (Å): 8.918 8.918 8.918
angles (deg): 18.68 18.68 18.68
Fractional positions:
Tl 0.000 0.000 0.000
Fe 0.496 0.496 0.496
Fe 0.758 0.758 0.758
Re 0.236 0.236 0.236



First-principles (PBE) data for crystalline Tl2FeRe at its relaxed geometry, as listed in Alexandria via LeMat-Bulk.

Values from the calculation:
Offset from the most stable computed form ... 0.489 eV per atom
Magnetic moment ... 4.19 μB per cell
E_form ... 1042 meV/atom
Energy ... -5.368 eV per atom

a b c (Å): 5.362 5.362 5.362
angles (deg): 135.45 135.45 64.84
Fractional positions:
Tl 0.000 0.000 0.000
Tl 0.750 0.250 0.500
Fe 0.250 0.750 0.500
Re 0.500 0.500 0.000



First-principles (PBE) data for crystalline Tl4FeRe at its relaxed geometry, as listed in Alexandria via LeMat-Bulk.

Values from the calculation:
Magnetic moment ... 6.42 μB per cell
E_form ... 1490 meV/atom
Energy ... -3.572 eV per atom

a b c (Å): 6.042 6.042 6.042
angles (deg): 60.00 60.00 60.00
Fractional positions:
Tl 0.125 0.125 0.125
Tl 0.125 0.125 0.625
Tl 0.125 0.625 0.125
Tl 0.625 0.125 0.125
Fe 0.750 0.750 0.750
Re 0.500 0.500 0.500